This record from Alexandria via LeMat-Bulk describes FeSiTcPd after structural relaxation. The functional is PBE.

Computed properties:
**Uncorrected formation energy**: -0.2047 eV per atom
**DFT total energy**: -7.566 eV/atom
**DOS(E_F)**: 4.64 states/eV/cell

Lattice parameters (Å, degrees): 4.240 4.240 4.240 60.00 60.00 60.00
Positions (direct):
1 Fe 0.250 0.250 0.250
2 Pd 0.500 0.500 0.500
3 Tc 0.000 0.000 0.000
4 Si 0.750 0.750 0.750

---

This record from Alexandria via LeMat-Bulk describes CdFeTe2 after structural relaxation. The functional is PBE.

Computed properties:
**Uncorrected formation energy**: 0.0853 eV per atom
**DFT total energy**: -3.830 eV/atom
**DOS(E_F)**: 4.41 states/eV/cell

Lattice parameters (Å, degrees): 3.818 6.261 6.252 48.74 90.00 90.00
Positions (direct):
1 Fe 0.500 0.750 0.750
2 Te 0.000 0.897 0.897
3 Te 0.000 0.603 0.603
4 Cd 0.500 0.250 0.250

---

This record from Alexandria via LeMat-Bulk describes FeRhW2 after structural relaxation. The functional is PBE.

Computed properties:
**E above lowest polymorph**: 173.2 meV/atom
**DFT total energy**: -10.274 eV/atom
**DOS(E_F)**: 3.81 states/eV/cell

Lattice parameters (Å, degrees): 4.723 4.723 4.777 80.56 80.56 33.92
Positions (direct):
1 Rh 0.750 0.750 0.750
2 W 0.499 0.499 0.497
3 W 0.001 0.001 0.003
4 Fe 0.250 0.250 0.250

---

This record from Alexandria via LeMat-Bulk describes TiSBr after structural relaxation. The functional is PBE.

Computed properties:
**Uncorrected formation energy**: -1.1914 eV per atom
**DFT total energy**: -5.756 eV/atom
**DOS(E_F)**: 3.69 states/eV/cell

Lattice parameters (Å, degrees): 6.267 6.993 7.269 57.77 90.00 90.00
Positions (direct):
1 S 0.180 0.772 0.622
2 S 0.320 0.272 0.122
3 S 0.680 0.728 0.878
4 S 0.820 0.228 0.378
5 Br 0.834 0.229 0.885
6 Br 0.166 0.771 0.115
7 Br 0.666 0.729 0.385
8 Br 0.334 0.271 0.615
9 Ti 0.524 0.487 0.219
10 Ti 0.024 0.013 0.281
11 Ti 0.976 0.987 0.719
12 Ti 0.476 0.513 0.781

---

This record from Alexandria via LeMat-Bulk describes Tl3PdS after structural relaxation. The functional is PBE.

Computed properties:
**Uncorrected formation energy**: -0.0245 eV per atom
**E above lowest polymorph**: 0.0 meV/atom
**DFT total energy**: -3.308 eV/atom
**DOS(E_F)**: 1.32 states/eV/cell

Lattice parameters (Å, degrees): 5.305 5.305 5.305 90.00 90.00 90.00
Positions (direct):
1 Pd 0.000 0.000 0.000
2 S 0.500 0.500 0.500
3 Tl 0.000 0.000 0.500
4 Tl 0.000 0.500 0.000
5 Tl 0.500 0.000 0.000

---

This record from Alexandria via LeMat-Bulk describes CeHoAlGa after structural relaxation. The functional is PBE.

Computed properties:
**DFT total energy**: -4.743 eV/atom
**DOS(E_F)**: 5.77 states/eV/cell

Lattice parameters (Å, degrees): 5.115 5.115 5.115 60.00 60.00 60.00
Positions (direct):
1 Ce 0.000 0.000 0.000
2 Al 0.250 0.250 0.250
3 Ho 0.500 0.500 0.500
4 Ga 0.750 0.750 0.750

---

This record from Alexandria via LeMat-Bulk describes Ba2Sr2Cl after structural relaxation. The functional is PBE.

Computed properties:
**Uncorrected formation energy**: -0.5502 eV per atom
**E above lowest polymorph**: 0.0 meV/atom
**DFT total energy**: -2.361 eV/atom
**DOS(E_F)**: 20.01 states/eV/cell

Lattice parameters (Å, degrees): 8.592 8.592 7.597 90.00 90.00 90.00
Positions (direct):
1 Ba 0.673 0.173 0.000
2 Ba 0.827 0.673 0.000
3 Ba 0.173 0.327 0.000
4 Ba 0.327 0.827 0.000
5 Cl 0.500 0.500 0.000
6 Cl 0.000 0.000 0.000
7 Sr 0.661 0.839 0.500
8 Sr 0.839 0.339 0.500
9 Sr 0.339 0.161 0.500
10 Sr 0.161 0.661 0.500

---

This record from Alexandria via LeMat-Bulk describes AlRuW2 after structural relaxation. The functional is PBE.

Computed properties:
**DFT total energy**: -9.734 eV/atom
**DOS(E_F)**: 2.63 states/eV/cell

Lattice parameters (Å, degrees): 5.128 5.128 5.128 144.52 128.29 64.28
Positions (direct):
1 W 0.998 0.998 0.000
2 W 0.757 0.257 0.500
3 Al 0.495 0.495 0.000
4 Ru 0.250 0.750 0.500

---

This record from Alexandria via LeMat-Bulk describes CrFeCo2 after structural relaxation. The functional is PBE.

Computed properties:
**DFT total energy**: -7.995 eV/atom
**DOS(E_F)**: 5.00 states/eV/cell

Lattice parameters (Å, degrees): 2.500 3.508 5.017 90.00 90.00 90.00
Positions (direct):
1 Cr 0.000 0.000 0.495
2 Co 0.500 0.500 0.247
3 Co 0.000 0.000 0.003
4 Fe 0.500 0.500 0.755

---

This record from Alexandria via LeMat-Bulk describes La2PuFeN5 after structural relaxation. The functional is PBE.

Computed properties:
**Uncorrected formation energy**: -0.8911 eV per atom
**DFT total energy**: -9.144 eV/atom
**DOS(E_F)**: 16.82 states/eV/cell

Lattice parameters (Å, degrees): 3.487 7.291 10.533 90.00 90.00 103.83
Positions (direct):
1 N 0.494 0.989 0.782
2 N 0.663 0.326 0.512
3 N 0.672 0.343 0.891
4 N 0.337 0.674 0.012
5 N 0.328 0.657 0.391
6 N 0.506 0.011 0.282
7 N 0.025 0.051 0.998
8 N 0.975 0.949 0.498
9 N 0.294 0.589 0.661
10 N 0.706 0.411 0.161
11 La 0.865 0.731 0.834
12 La 0.135 0.269 0.334
13 La 0.888 0.776 0.184
14 La 0.112 0.224 0.684
15 Fe 0.458 0.915 0.435
16 Fe 0.542 0.085 0.935
17 Pu 0.191 0.382 0.028
18 Pu 0.809 0.618 0.528

---

This record from Alexandria via LeMat-Bulk describes Tm8HgTe2 after structural relaxation. The functional is PBE.

Computed properties:
**Uncorrected formation energy**: -0.3435 eV per atom
**DFT total energy**: -4.194 eV/atom
**DOS(E_F)**: 13.75 states/eV/cell

Lattice parameters (Å, degrees): 5.827 7.986 7.986 116.91 98.06 98.06
Positions (direct):
1 Tm 0.500 0.765 0.235
2 Tm 0.145 0.320 0.089
3 Tm 0.855 0.911 0.680
4 Tm 0.699 0.392 0.392
5 Tm 0.301 0.608 0.608
6 Tm 0.145 0.089 0.320
7 Tm 0.855 0.680 0.911
8 Tm 0.500 0.235 0.765
9 Hg 0.500 0.000 0.000
10 Te 0.000 0.696 0.304
11 Te 0.000 0.304 0.696

---

This record from Alexandria via LeMat-Bulk describes CoCuAs3 after structural relaxation. The functional is PBE.

Computed properties:
**E above lowest polymorph**: 0.0 meV/atom
**DFT total energy**: -4.462 eV/atom
**DOS(E_F)**: 5.11 states/eV/cell

Lattice parameters (Å, degrees): 4.561 4.561 4.561 90.00 90.00 90.00
Positions (direct):
1 Co 0.000 0.000 0.000
2 Cu 0.500 0.500 0.500
3 As 0.000 0.000 0.500
4 As 0.500 0.000 0.000
5 As 0.000 0.500 0.000

---

This record from Alexandria via LeMat-Bulk describes Y2CdRh2 after structural relaxation. The functional is PBE.

Computed properties:
**DFT total energy**: -6.168 eV/atom
**DOS(E_F)**: 3.48 states/eV/cell

Lattice parameters (Å, degrees): 5.334 5.334 5.570 61.39 61.39 90.00
Positions (direct):
1 Y 0.250 0.750 0.500
2 Y 0.750 0.250 0.500
3 Cd 0.000 0.000 0.000
4 Rh 0.661 0.661 0.679
5 Rh 0.339 0.339 0.321

---

This record from Alexandria via LeMat-Bulk describes Dy2HoI after structural relaxation. The functional is PBE.

Computed properties:
**Uncorrected formation energy**: -0.3363 eV per atom
**E above lowest polymorph**: 3.7 meV/atom
**DFT total energy**: -4.169 eV/atom
**DOS(E_F)**: 4.73 states/eV/cell

Lattice parameters (Å, degrees): 3.726 3.726 10.664 79.94 79.94 60.00
Positions (direct):
1 Dy 0.746 0.746 0.762
2 Dy 0.254 0.254 0.238
3 I 0.000 0.000 0.000
4 Ho 0.500 0.500 0.500

---

This record from Alexandria via LeMat-Bulk describes Lu2TcBr after structural relaxation. The functional is PBE.

Computed properties:
**Uncorrected formation energy**: -0.5172 eV per atom
**E above lowest polymorph**: 85.6 meV/atom
**DFT total energy**: -5.787 eV/atom
**DOS(E_F)**: 2.56 states/eV/cell

Lattice parameters (Å, degrees): 3.557 3.557 8.683 78.18 78.18 60.00
Positions (direct):
1 Lu 0.741 0.741 0.778
2 Lu 0.259 0.259 0.222
3 Tc 0.000 0.000 0.000
4 Br 0.500 0.500 0.500

---

This record from Alexandria via LeMat-Bulk describes Pm2Hg3Pt2 after structural relaxation. The functional is PBE.

Computed properties:
**E above lowest polymorph**: 42.5 meV/atom
**DFT total energy**: -3.877 eV/atom
**DOS(E_F)**: 2.90 states/eV/cell

Lattice parameters (Å, degrees): 4.088 5.688 7.694 94.78 90.00 111.06
Positions (direct):
1 Hg 0.697 0.393 0.863
2 Hg 0.000 0.000 0.000
3 Hg 0.303 0.607 0.137
4 Pt 0.902 0.804 0.371
5 Pt 0.098 0.196 0.629
6 Pm 0.620 0.241 0.347
7 Pm 0.380 0.759 0.653

---

This record from Alexandria via LeMat-Bulk describes Sr3PbI3 after structural relaxation. The functional is PBE.

Computed properties:
**Uncorrected formation energy**: -1.2351 eV per atom
**DFT total energy**: -3.150 eV/atom
**DOS(E_F)**: 11.72 states/eV/cell

Lattice parameters (Å, degrees): 11.730 11.730 11.730 109.47 109.47 109.47
Positions (direct):
1 Sr 0.748 0.252 0.750
2 Sr 0.748 0.496 0.498
3 Sr 0.998 0.248 0.496
4 Sr 0.502 0.498 0.750
5 Sr 0.250 0.002 0.498
6 Sr 0.504 0.252 0.002
7 Sr 0.502 0.004 0.252
8 Sr 0.752 0.750 0.248
9 Sr 0.996 0.498 0.248
10 Sr 0.250 0.248 0.252
11 Sr 0.752 0.002 0.004
12 Sr 0.998 0.750 0.002
13 I 0.002 0.752 0.505
14 I 0.002 0.250 0.998
15 I 0.252 0.748 0.250
16 I 0.248 0.250 0.752
17 I 0.498 0.995 0.748
18 I 0.252 0.505 0.502
19 I 0.750 0.998 0.502
20 I 0.495 0.748 0.998
21 I 0.005 0.502 0.752
22 I 0.750 0.752 0.748
23 I 0.498 0.502 0.250
24 I 0.248 0.998 0.995
25 Pb 0.000 0.000 0.250
26 Pb 0.500 0.250 0.500
27 Pb 0.750 0.500 0.000
28 Pb 0.750 0.250 0.250

---

This record from Alexandria via LeMat-Bulk describes InRe2Br after structural relaxation. The functional is PBE.

Computed properties:
**Uncorrected formation energy**: 0.8767 eV per atom
**E above lowest polymorph**: 598.1 meV/atom
**DFT total energy**: -6.450 eV/atom
**DOS(E_F)**: 2.49 states/eV/cell

Lattice parameters (Å, degrees): 5.604 5.604 5.550 60.22 60.22 30.61
Positions (direct):
1 In 0.725 0.725 0.741
2 Br 0.542 0.542 0.447
3 Re 0.267 0.267 0.155
4 Re 0.966 0.966 0.157

---

This record from Alexandria via LeMat-Bulk describes Y3Os after structural relaxation. The functional is PBE.

Computed properties:
**DFT total energy**: -7.763 eV/atom
**DOS(E_F)**: 3.85 states/eV/cell

Lattice parameters (Å, degrees): 5.241 6.408 3.574 73.81 90.00 114.14
Positions (direct):
1 Y 0.720 0.607 0.696
2 Y 0.417 0.000 0.500
3 Y 0.113 0.393 0.304
4 Os 0.917 0.000 0.000

---

This record from Alexandria via LeMat-Bulk describes PrPaW2N6 after structural relaxation. The functional is PBE.

Computed properties:
**Uncorrected formation energy**: -0.8830 eV per atom
**DFT total energy**: -9.896 eV/atom
**DOS(E_F)**: 10.63 states/eV/cell

Lattice parameters (Å, degrees): 6.371 7.273 7.273 83.02 75.57 75.57
Positions (direct):
1 N 0.835 0.995 0.239
2 N 0.396 0.867 0.367
3 N 0.604 0.133 0.633
4 N 0.104 0.633 0.133
5 N 0.165 0.005 0.761
6 N 0.030 0.661 0.619
7 N 0.665 0.761 0.005
8 N 0.896 0.367 0.867
9 N 0.470 0.381 0.339
10 N 0.335 0.239 0.995
11 N 0.530 0.619 0.661
12 N 0.970 0.339 0.381
13 Pa 0.250 0.308 0.692
14 Pa 0.750 0.692 0.308
15 W 0.737 0.208 0.387
16 W 0.263 0.792 0.613
17 W 0.237 0.387 0.208
18 W 0.763 0.613 0.792
19 Pr 0.750 0.093 0.907
20 Pr 0.250 0.907 0.093